(1)
The following is a DFT calculation (GGA-PBE) of crystalline CeZrSc at its relaxed geometry.

Summary:
Calculated volume   24.84 Å³/atom
Space-group type   R-3m, No. 166
Formation enthalpy at 0 K   0.036 eV/atom
Total magnetization   0.00 μB/f.u.
Mass density   6.16 g cm⁻³

Cell: 3.2809 3.2809 16.1013 Å, 84.15 84.15 60.00°
With the nearest neighbours (Å) after each atom.
Element x y z (fractional)
Sc 0.5865 0.5865 0.2404  3 Zr 3.20, 6 Sc 3.28, 3 Ce 3.38
Sc 0.4135 0.4135 0.7596  3 Zr 3.20, 6 Sc 3.28, 3 Ce 3.38
Zr 0.3070 0.3070 0.0789  9 Zr 3.15-3.28, 3 Sc 3.20
Zr 0.6930 0.6930 0.9211  9 Zr 3.15-3.28, 3 Sc 3.20
Ce 0.8616 0.8616 0.4152  9 Ce 3.28-3.31, 3 Sc 3.38
Ce 0.1384 0.1384 0.5848  9 Ce 3.28-3.31, 3 Sc 3.38

(2)
The following is a DFT calculation (GGA-PBE) of crystalline Ce2Zr4Sc5 at its relaxed geometry.

Summary:
Calculated volume   24.42 Å³/atom
Space-group type   P-1, No. 2
Formation enthalpy at 0 K   0.068 eV/atom
Total magnetization   0.00 μB/f.u.
Mass density   5.38 g cm⁻³

Cell: 3.1759 8.0744 10.7236 Å, 94.89 89.97 101.33°
With the nearest neighbours (Å) after each atom.
Element x y z (fractional)
Ce 0.1410 0.2813 0.8272  2 Zr 2.81-3.00
Ce 0.8590 0.7187 0.1728  2 Zr 2.81-3.00
Zr 0.7304 0.4618 0.3622  1 Ce 3.00, 5 Sc 3.10-3.26, 2 Zr 3.18
Zr 0.1797 0.3613 0.0873  1 Ce 2.81, 1 Sc 3.07
Zr 0.2696 0.5382 0.6378  1 Ce 3.00, 5 Sc 3.10-3.26, 2 Zr 3.18
Zr 0.8203 0.6387 0.9127  1 Ce 2.81, 1 Sc 3.07
Sc 0.0552 0.1095 0.2891  3 Zr 3.07-3.25, 6 Sc 3.18-3.42, 1 Ce 3.23
Sc 0.9448 0.8905 0.7109  3 Zr 3.07-3.25, 6 Sc 3.18-3.42, 1 Ce 3.23
Sc 0.4051 0.8119 0.4482  7 Sc 3.09-3.42, 3 Zr 3.10-3.26, 2 Ce 3.38
Sc 0.5000 0.0000 0.0000  6 Sc 3.18-3.53, 4 Zr 3.33, 4 Ce 3.41
Sc 0.5949 0.1881 0.5518  7 Sc 3.09-3.42, 3 Zr 3.10-3.26, 2 Ce 3.38

(3)
The following is a DFT calculation (GGA-PBE) of crystalline CeZr2Sc at its relaxed geometry.

Summary:
Calculated volume   24.42 Å³/atom
Space-group type   R3m, No. 160
Formation enthalpy at 0 K   0.066 eV/atom
Total magnetization   0.00 μB/f.u.
Mass density   6.25 g cm⁻³

Cell: 3.2368 3.2368 10.9248 Å, 81.48 81.48 60.00°
With the nearest neighbours (Å) after each atom.
Element x y z (fractional)
Ce 0.5000 0.5000 0.5001  6 Ce 3.24, 6 Zr 3.33-3.34
Zr 0.0810 0.0810 0.7569  3 Sc 3.21, 6 Zr 3.24, 3 Ce 3.34
Zr 0.2521 0.2521 0.2437  3 Sc 3.23, 6 Zr 3.24, 3 Ce 3.33
Sc 0.6669 0.6669 0.9994  6 Zr 3.21-3.23, 6 Sc 3.24

(4)
The following is a DFT calculation (GGA-PBE) of crystalline CeZr2Sc at its relaxed geometry.

Summary:
Calculated volume   24.32 Å³/atom
Space-group type   P4/mmm, No. 123
Formation enthalpy at 0 K   0.157 eV/atom
Total magnetization   0.00 μB/f.u.
Mass density   6.27 g cm⁻³

Cell: 3.8490 3.8490 6.5656 Å, 90.00 90.00 90.00°
With the nearest neighbours (Å) after each atom.
Element x y z (fractional)
Sc 0.5000 0.5000 0.0000  8 Zr 3.24, 2 Ce 3.28
Zr 0.0000 0.0000 0.7331  1 Zr 3.06, 4 Ce 3.12, 4 Sc 3.24
Zr 0.0000 0.0000 0.2669  1 Zr 3.06, 4 Ce 3.12, 4 Sc 3.24
Ce 0.5000 0.5000 0.5000  8 Zr 3.12, 2 Sc 3.28

(5)
The following is a DFT calculation (GGA-PBE) of crystalline CeZr2Sc at its relaxed geometry.

Summary:
Calculated volume   24.49 Å³/atom
Space-group type   R-3m, No. 166
Formation enthalpy at 0 K   0.076 eV/atom
Total magnetization   0.00 μB/f.u.
Mass density   6.23 g cm⁻³

Cell: 3.2561 3.2561 10.8343 Å, 81.36 81.36 60.00°
With the nearest neighbours (Å) after each atom.
Element x y z (fractional)
Sc 0.0000 0.0000 0.0000  6 Zr 3.22, 6 Sc 3.26
Zr 0.7484 0.7484 0.7548  3 Sc 3.22, 6 Zr 3.26, 3 Ce 3.31
Zr 0.2516 0.2516 0.2452  3 Sc 3.22, 6 Zr 3.26, 3 Ce 3.31
Ce 0.5000 0.5000 0.5000  6 Ce 3.26, 6 Zr 3.31

(6)
The following is a DFT calculation (GGA-PBE) of crystalline CeZr5Sc2 at its relaxed geometry.

Summary:
Calculated volume   23.85 Å³/atom
Space-group type   I4/mmm, No. 139
Formation enthalpy at 0 K   0.052 eV/atom
Total magnetization   0.00 μB/f.u.
Mass density   5.97 g cm⁻³

Cell: 6.4535 6.4538 6.4537 Å, 119.76 119.76 90.42°
With the nearest neighbours (Å) after each atom.
Element x y z (fractional)
Ce 0.7779 0.7779 0.0000  8 Zr 3.23, 4 Sc 3.24
Zr 0.2779 0.2779 0.5000  4 Sc 3.23, 6 Zr 3.23-3.24, 2 Ce 3.23
Zr 0.2778 0.7778 0.0000  2 Ce 3.23, 6 Zr 3.23-3.24, 4 Sc 3.23
Zr 0.7780 0.2780 0.0000  6 Zr 3.23-3.24, 2 Ce 3.23, 4 Sc 3.23
Zr 0.7778 0.7779 0.5000  4 Sc 3.23, 6 Zr 3.23-3.24, 2 Ce 3.23
Zr 0.2778 0.2779 0.0000  8 Zr 3.23, 4 Sc 3.24
Sc 0.2780 0.7780 0.5003  10 Zr 3.23-3.24, 2 Ce 3.24
Sc 0.7778 0.2777 0.4997  10 Zr 3.23-3.24, 2 Ce 3.24

(7)
The following is a DFT calculation (GGA-PBE) of crystalline CeZrSc at its relaxed geometry.

Summary:
Calculated volume   24.65 Å³/atom
Space-group type   P-6m2, No. 187
Formation enthalpy at 0 K   0.030 eV/atom
Total magnetization   0.00 μB/f.u.
Mass density   6.20 g cm⁻³

Cell: 3.2303 5.1413 5.1413 Å, 120.00 90.00 90.00°
With the nearest neighbours (Å) after each atom.
Element x y z (fractional)
Sc 0.6669 0.6667 0.3333  2 Sc 3.23, 6 Zr 3.38, 6 Ce 3.38
Zr 0.1663 0.3333 0.6667  3 Ce 2.97, 2 Zr 3.23
Ce 0.1668 0.0000 0.0000  3 Zr 2.97, 2 Ce 3.23

(8)
The following is a DFT calculation (GGA-PBE) of crystalline CeZrSc2 at its relaxed geometry.

Summary:
Calculated volume   24.75 Å³/atom
Space-group type   R3m, No. 160
Formation enthalpy at 0 K   0.054 eV/atom
Total magnetization   0.26 μB/f.u.
Mass density   5.39 g cm⁻³

Cell: 3.2468 3.2468 11.0049 Å, 81.52 81.52 60.00°
With the nearest neighbours (Å) after each atom.
Element x y z (fractional)
Ce 0.5007 0.5007 0.4979  6 Ce 3.25, 6 Sc 3.40-3.45
Zr 0.6662 0.6662 0.0013  6 Sc 3.16-3.18, 6 Zr 3.25
Sc 0.0784 0.0784 0.7647  3 Zr 3.18, 6 Sc 3.25, 3 Ce 3.45
Sc 0.2546 0.2546 0.2361  3 Zr 3.16, 6 Sc 3.25, 3 Ce 3.40